Version w
Entry from the Alexandria database: a relaxed structure of HoTm3Pd2 (GGA-PBE).

abc: 4.8343 7.0200 8.6530
angles: 90.00 90.00 90.00
With the nearest neighbours (Å) after each atom.
Atoms (fractional coordinates):
Ho1 0.5000 0.5166 0.5783  3 Pd 2.81-3.10
Ho2 0.5000 0.0166 0.4217  3 Pd 2.81-3.10
Tm1 0.0000 0.4834 0.9224  3 Pd 2.80-3.09
Tm2 0.0000 0.9834 0.0776  3 Pd 2.80-3.09
Tm3 0.5000 0.6446 0.1702  4 Pd 2.83-2.96
Tm4 0.5000 0.1446 0.8298  4 Pd 2.83-2.96
Tm5 0.0000 0.3554 0.3287  4 Pd 2.83-2.96
Tm6 0.0000 0.8554 0.6713  4 Pd 2.83-2.96
Pd1 0.5000 0.7417 0.8463  1 Ho 2.81, 6 Tm 2.83-3.09
Pd2 0.5000 0.2417 0.1537  1 Ho 2.81, 6 Tm 2.83-3.09
Pd3 0.0000 0.2583 0.6557  5 Tm 2.80-2.96, 2 Ho 3.10
Pd4 0.0000 0.7583 0.3443  5 Tm 2.80-2.96, 2 Ho 3.10

Computed properties:
The calculation puts the volume at 294 Å³/cell. The value obtained for the total magnetization is 0.0 μB per cell. Its symmetry is Pmc2_1, No. 26. The density of states at the Fermi level comes out at 0.988 states/eV/atom.


Version x
Entry from the Alexandria database: a relaxed structure of HoTm3Pd2 (GGA-PBE).

abc: 6.8524 7.0335 8.3526
angles: 114.90 114.22 90.00
With the nearest neighbours (Å) after each atom.
Atoms (fractional coordinates):
Ho1 0.0000 0.5000 0.0000  2 Pd 2.76
Ho2 0.0000 0.0000 0.0000  2 Pd 2.76
Tm1 0.5000 0.2500 0.0000  4 Pd 2.96
Tm2 0.5000 0.7500 0.0000  4 Pd 2.96
Tm3 0.7668 0.0168 0.5335  4 Pd 2.83-2.94
Tm4 0.2332 0.4832 0.4665  4 Pd 2.83-2.94
Tm5 0.2332 0.9832 0.4665  4 Pd 2.83-2.94
Tm6 0.7668 0.5168 0.5335  4 Pd 2.83-2.94
Pd1 0.5672 0.3592 0.7185  1 Ho 2.76, 6 Tm 2.83-2.96
Pd2 0.8487 0.1408 0.2815  1 Ho 2.76, 6 Tm 2.83-2.96
Pd3 0.1513 0.8592 0.7185  1 Ho 2.76, 6 Tm 2.83-2.96
Pd4 0.4328 0.6408 0.2815  1 Ho 2.76, 6 Tm 2.83-2.96

Computed properties:
The calculation puts the volume at 326 Å³/cell. The value obtained for the total magnetization is 0.0 μB per cell. Its symmetry is Ibam, No. 72. The density of states at the Fermi level comes out at 0.985 states/eV/atom.


Most stable pick: version w. Distance to second place: 131 meV/atom.


Version w
Entry from the Alexandria database: a relaxed structure of HoTmZnPd (GGA-PBE).

abc: 4.9585 4.9585 4.9585
angles: 60.00 60.00 60.00
With the nearest neighbours (Å) after each atom.
Atoms (fractional coordinates):
Zn1 0.0000 0.0000 0.0000  4 Tm 3.04, 4 Ho 3.04
Tm1 0.7500 0.7500 0.7500  4 Pd 3.04, 4 Zn 3.04
Ho1 0.2500 0.2500 0.2500  4 Pd 3.04, 4 Zn 3.04
Pd1 0.5000 0.5000 0.5000  4 Ho 3.04, 4 Tm 3.04

Computed properties:
The calculation puts the volume at 86 Å³/cell. The value obtained for the total magnetization is 0.0 μB per cell. Its symmetry is F-43m, No. 216. The density of states at the Fermi level comes out at 0.685 states/eV/atom.


Version x
Entry from the Alexandria database: a relaxed structure of HoTmZnPd (GGA-PBE).

abc: 3.5205 3.5205 6.9334
angles: 90.00 90.00 90.00
With the nearest neighbours (Å) after each atom.
Atoms (fractional coordinates):
Ho1 0.0000 0.0000 0.8606  4 Pd 3.04, 4 Zn 3.06
Tm1 0.0000 0.0000 0.3524  4 Pd 3.00, 4 Zn 3.04
Zn1 0.5000 0.5000 0.6029  4 Tm 3.04, 4 Ho 3.06
Pd1 0.5000 0.5000 0.1120  4 Tm 3.00, 4 Ho 3.04

Computed properties:
The calculation puts the volume at 86 Å³/cell. The value obtained for the total magnetization is 0.0 μB per cell. Its symmetry is P4mm, No. 99. The density of states at the Fermi level comes out at 0.720 states/eV/atom.


Most stable pick: version x. Distance to second place: 26 meV/atom.


Version w
Entry from the Alexandria database: a relaxed structure of YHoPd (GGA-PBE).

abc: 3.5427 7.0894 6.6074
angles: 105.53 105.53 90.02
With the nearest neighbours (Å) after each atom.
Atoms (fractional coordinates):
Y1 0.3018 0.4837 0.3698  4 Pd 3.06, 1 Y 3.36
Y2 0.5761 0.6203 0.9191  4 Pd 3.06, 1 Y 3.36
Ho1 0.5769 0.1213 0.9208  4 Pd 2.98
Ho2 0.3009 0.9826 0.3680  4 Pd 2.98
Pd1 0.9387 0.2918 0.6441  4 Ho 2.98, 4 Y 3.06
Pd2 0.9391 0.8121 0.6447  4 Ho 2.98, 4 Y 3.06

Computed properties:
The calculation puts the volume at 154 Å³/cell. The value obtained for the total magnetization is 0.0 μB per cell. Its symmetry is C2/m, No. 12. The density of states at the Fermi level comes out at 0.852 states/eV/atom.


Version x
Entry from the Alexandria database: a relaxed structure of YHoPd (GGA-PBE).

abc: 3.8092 4.7798 4.7798
angles: 120.00 90.00 90.00
With the nearest neighbours (Å) after each atom.
Atoms (fractional coordinates):
Y1 0.0596 0.0000 0.0000  3 Pd 2.97, 3 Ho 3.28
Ho1 0.5928 0.3333 0.6667  3 Pd 2.91
Pd1 0.3475 0.6667 0.3333  3 Ho 2.91, 3 Y 2.97

Computed properties:
The calculation puts the volume at 75 Å³/cell. The value obtained for the total magnetization is 0.0 μB per cell. Its symmetry is P3m1, No. 156. The density of states at the Fermi level comes out at 0.977 states/eV/atom.


Most stable pick: version w. Distance to second place: 164 meV/atom.


Version w
Entry from the Alexandria database: a relaxed structure of YHoPd (GGA-PBE).

abc: 3.5438 3.5438 6.6087
angles: 105.55 105.55 90.00
With the nearest neighbours (Å) after each atom.
Atoms (fractional coordinates):
Y1 0.3060 0.3060 0.6121  4 Pd 3.05, 1 Ho 3.37
Ho1 0.0304 0.0304 0.0609  4 Pd 2.99
Pd1 0.6635 0.6635 0.3270  4 Ho 2.99, 4 Y 3.05

Computed properties:
The calculation puts the volume at 77 Å³/cell. The value obtained for the total magnetization is 0.0 μB per cell. Its symmetry is I4mm, No. 107. The density of states at the Fermi level comes out at 0.859 states/eV/atom.


Version x
Entry from the Alexandria database: a relaxed structure of YHoPd (GGA-PBE).

abc: 4.8828 4.8828 4.8828
angles: 60.00 60.00 60.00
With the nearest neighbours (Å) after each atom.
Atoms (fractional coordinates):
Y1 0.0000 0.0000 0.0000  4 Pd 2.99
Ho1 0.5000 0.5000 0.5000  4 Pd 2.99
Pd1 0.2500 0.2500 0.2500  4 Ho 2.99, 4 Y 2.99

Computed properties:
The calculation puts the volume at 82 Å³/cell. The value obtained for the total magnetization is 0.0 μB per cell. Its symmetry is F-43m, No. 216. The density of states at the Fermi level comes out at 1.110 states/eV/atom.


Most stable pick: version w. Distance to second place: 81 meV/atom.


Version w
Entry from the Alexandria database: a relaxed structure of YHo3Pd2 (GGA-PBE).

abc: 6.8960 7.1054 8.4278
angles: 114.93 114.15 90.00
With the nearest neighbours (Å) after each atom.
Atoms (fractional coordinates):
Y1 0.0000 0.5000 0.0000  2 Pd 2.79
Y2 0.0000 0.0000 0.0000  2 Pd 2.79
Ho1 0.5000 0.2500 0.0000  4 Pd 2.98
Ho2 0.5000 0.7500 0.0000  4 Pd 2.98
Ho3 0.7664 0.0164 0.5328  4 Pd 2.85-2.97
Ho4 0.2336 0.4836 0.4672  4 Pd 2.85-2.97
Ho5 0.2336 0.9836 0.4672  4 Pd 2.85-2.97
Ho6 0.7664 0.5164 0.5328  4 Pd 2.85-2.97
Pd1 0.5658 0.3589 0.7178  1 Y 2.79, 6 Ho 2.85-2.98
Pd2 0.8479 0.1411 0.2822  1 Y 2.79, 6 Ho 2.85-2.98
Pd3 0.1521 0.8589 0.7178  1 Y 2.79, 6 Ho 2.85-2.98
Pd4 0.4342 0.6411 0.2822  1 Y 2.79, 6 Ho 2.85-2.98

Computed properties:
The calculation puts the volume at 334 Å³/cell. The value obtained for the total magnetization is 0.0 μB per cell. Its symmetry is Ibam, No. 72. The density of states at the Fermi level comes out at 1.032 states/eV/atom.


Version x
Entry from the Alexandria database: a relaxed structure of YHo3Pd2 (GGA-PBE).

abc: 3.7665 8.5195 9.6706
angles: 90.00 90.00 90.00
With the nearest neighbours (Å) after each atom.
Atoms (fractional coordinates):
Y1 0.5000 0.5110 0.5687  4 Pd 3.00-3.03
Y2 0.5000 0.0110 0.4313  4 Pd 3.00-3.03
Ho1 0.0000 0.4897 0.9337  4 Pd 2.99-3.02
Ho2 0.0000 0.9897 0.0663  4 Pd 2.99-3.02
Ho3 0.5000 0.6695 0.2141  3 Pd 2.83-2.90
Ho4 0.5000 0.1695 0.7859  3 Pd 2.83-2.90
Ho5 0.0000 0.3308 0.2851  3 Pd 2.84-2.92
Ho6 0.0000 0.8308 0.7149  3 Pd 2.84-2.92
Pd1 0.5000 0.7625 0.9257  7 Ho 2.84-3.02
Pd2 0.5000 0.2625 0.0743  7 Ho 2.84-3.02
Pd3 0.0000 0.2365 0.5757  3 Ho 2.83-2.92, 4 Y 3.00-3.03
Pd4 0.0000 0.7365 0.4243  3 Ho 2.83-2.92, 4 Y 3.00-3.03

Computed properties:
The calculation puts the volume at 310 Å³/cell. The value obtained for the total magnetization is 0.0 μB per cell. Its symmetry is Pmc2_1, No. 26. The density of states at the Fermi level comes out at 1.133 states/eV/atom.


Most stable pick: version x. Distance to second place: 100 meV/atom.